No. 1
Density functional theory data (PBE) for crystalline Sr2ZrNi at its relaxed geometry.

Calculated values
N(E_F): 4.7 states/eV/cell
energy relative to the elements: 0.681 eV per atom
symmetry: Pmmm, No. 47
total DFT energy (no corrections): -3.742 eV/atom

Structure (POSCAR):
```
Sr2ZrNi
1.0
-3.979 -0.381 -0.577
0.263 -4.849 1.389
-0.865 1.397 5.041
Zr Sr Ni
1 2 1
direct
0.500 0.000 0.500
0.000 0.000 0.000
0.500 0.500 0.000
0.000 0.500 0.500
```


No. 2
Density functional theory data (PBE) for crystalline Ac2NiGeH at its relaxed geometry.

Calculated values
N(E_F): 6.8 states/eV/cell
symmetry: P2_1/m, No. 11
total DFT energy (no corrections): -4.946 eV/atom

Structure (POSCAR):
```
Ac2NiGeH
1.0
-0.984 2.057 3.635
-5.610 -3.271 0.332
5.986 -4.640 4.247
Ge H Ac Ni
2 2 4 2
direct
0.250 0.666 0.293
0.750 0.334 0.707
0.750 0.189 0.177
0.250 0.811 0.823
0.750 0.755 0.034
0.750 0.774 0.591
0.250 0.245 0.966
0.250 0.226 0.409
0.750 0.452 0.240
0.250 0.548 0.760
```


No. 3
Density functional theory data (PBE) for crystalline Ge2SbPt at its relaxed geometry.

Calculated values
N(E_F): 4.7 states/eV/cell
E_form (uncorrected): -55 meV/atom
symmetry: I-42d, No. 122
total DFT energy (no corrections): -4.904 eV/atom

Structure (POSCAR):
```
Ge2SbPt
1.0
-3.134 -2.969 3.957
0.228 -4.766 -3.395
3.737 -5.613 3.081
Pt Sb Ge
2 2 4
direct
0.750 0.250 0.500
0.000 0.000 0.000
0.500 0.500 0.000
0.250 0.750 0.500
0.375 0.326 0.750
0.875 0.924 0.750
0.076 0.625 0.250
0.674 0.125 0.250
```


No. 4
Density functional theory data (PBE) for crystalline CrAs2Pt at its relaxed geometry.

Calculated values
N(E_F): 2.4 states/eV/cell
energy relative to the elements: 0.126 eV per atom
symmetry: R3m, No. 160
total DFT energy (no corrections): -6.115 eV/atom

Structure (POSCAR):
```
CrAs2Pt
1.0
-7.434 2.872 -5.587
-8.922 1.214 -3.693
-8.332 4.003 -3.045
As Pt Cr
2 1 1
direct
0.229 0.229 0.229
0.018 0.018 0.018
0.756 0.756 0.756
0.497 0.497 0.497
```


No. 5
Density functional theory data (PBE) for crystalline PrPuRh at its relaxed geometry.

Calculated values
N(E_F): 12.7 states/eV/cell
energy relative to the elements: -0.401 eV per atom
symmetry: P2_1/m, No. 11
total DFT energy (no corrections): -9.222 eV/atom

Structure (POSCAR):
```
PrPuRh
1.0
4.465 -0.008 0.005
0.011 6.003 0.227
-0.009 -1.717 5.840
Pr Rh Pu
2 2 2
direct
0.252 0.426 0.726
0.752 0.582 0.277
0.252 0.858 0.569
0.752 0.150 0.435
0.252 0.034 0.175
0.752 0.973 0.828
```


No. 6
Density functional theory data (PBE) for crystalline BeVBr2 at its relaxed geometry.

Calculated values
N(E_F): 7.3 states/eV/cell
E_form (uncorrected): 411 meV/atom
symmetry: I-42d, No. 122
total DFT energy (no corrections): -3.637 eV/atom

Structure (POSCAR):
```
BeVBr2
1.0
5.962 0.000 0.000
0.000 5.962 0.000
2.981 2.981 5.190
Be Br V
2 4 2
direct
0.250 0.750 0.500
0.500 0.500 0.000
0.875 0.814 0.750
0.186 0.625 0.250
0.375 0.436 0.750
0.564 0.125 0.250
0.000 0.000 0.000
0.750 0.250 0.500
```


No. 7
Density functional theory data (PBE) for crystalline PmScAlTl at its relaxed geometry.

Calculated values
N(E_F): 1.6 states/eV/cell
energy relative to the elements: -0.306 eV per atom
symmetry: F-43m, No. 216
total DFT energy (no corrections): -4.603 eV/atom

Structure (POSCAR):
```
PmScAlTl
1.0
5.179 0.000 0.000
2.589 4.485 0.000
2.589 1.495 4.229
Tl Sc Pm Al
1 1 1 1
direct
0.500 0.500 0.500
0.750 0.750 0.750
0.250 0.250 0.250
0.000 0.000 0.000
```


No. 8
Density functional theory data (PBE) for crystalline DyS5Br at its relaxed geometry.

Calculated values
E_form (uncorrected): -667 meV/atom
symmetry: C2, No. 5
total DFT energy (no corrections): -4.512 eV/atom

Structure (POSCAR):
```
DyS5Br
1.0
3.707 0.306 -1.868
-0.597 4.005 -2.199
2.742 3.694 11.519
Dy S Br
1 5 1
direct
0.824 0.324 0.649
0.914 0.274 0.163
0.028 0.528 0.057
0.248 0.888 0.163
0.329 0.617 0.764
0.435 0.147 0.764
0.752 0.752 0.503
```


No. 9
Density functional theory data (PBE) for crystalline Ti3PPb at its relaxed geometry.

Calculated values
N(E_F): 6.5 states/eV/cell
energy relative to the elements: 1.323 eV per atom
symmetry: Pm-3m, No. 221
total DFT energy (no corrections): -5.238 eV/atom

Structure (POSCAR):
```
Ti3PPb
1.0
5.143 0.000 0.000
0.000 5.143 0.000
0.000 0.000 5.143
Ti P Pb
3 1 1
direct
0.500 0.000 0.000
0.000 0.000 0.500
0.000 0.500 0.000
0.500 0.500 0.500
0.000 0.000 0.000
```


No. 10
Density functional theory data (PBE) for crystalline HoTm8Al2 at its relaxed geometry.

Calculated values
N(E_F): 12.6 states/eV/cell
energy relative to the elements: -0.112 eV per atom
symmetry: C2/m, No. 12
total DFT energy (no corrections): -4.460 eV/atom

Structure (POSCAR):
```
HoTm8Al2
1.0
4.861 0.000 -1.570
-1.132 7.194 -3.505
0.045 0.447 8.452
Al Ho Tm
2 1 8
direct
0.775 0.357 0.550
0.225 0.643 0.450
0.500 0.000 0.000
0.688 0.951 0.377
0.153 0.222 0.306
0.847 0.778 0.694
0.609 0.473 0.218
0.391 0.527 0.782
0.312 0.049 0.623
0.056 0.734 0.113
0.944 0.266 0.887
```


No. 11
Density functional theory data (PBE) for crystalline Pm2HoTmSc4 at its relaxed geometry.

Calculated values
N(E_F): 11.3 states/eV/cell
energy relative to the elements: 0.062 eV per atom
symmetry: P2/m, No. 10
total DFT energy (no corrections): -5.423 eV/atom

Structure (POSCAR):
```
Pm2HoTmSc4
1.0
-0.286 -0.726 -3.344
3.491 -4.758 0.735
-7.715 -7.745 2.342
Pm Sc Ho Tm
2 4 1 1
direct
0.000 0.000 0.000
0.500 0.000 0.500
0.500 0.748 0.251
0.000 0.749 0.750
0.000 0.251 0.250
0.500 0.252 0.749
0.500 0.500 0.000
0.000 0.500 0.500
```


No. 12
Density functional theory data (PBE) for crystalline LaTi2F2 at its relaxed geometry.

Calculated values
N(E_F): 10.6 states/eV/cell
E_form (uncorrected): -752 meV/atom
symmetry: P4/mbm, No. 127
total DFT energy (no corrections): -5.644 eV/atom

Structure (POSCAR):
```
LaTi2F2
1.0
-7.510 0.273 2.890
-2.839 -2.363 -7.155
0.207 -2.630 0.786
Ti La F
4 2 4
direct
0.379 0.879 0.000
0.621 0.121 0.000
0.121 0.379 0.000
0.879 0.621 0.000
0.000 0.000 0.000
0.500 0.500 0.000
0.398 0.102 0.500
0.102 0.602 0.500
0.602 0.898 0.500
0.898 0.398 0.500
```


Question: Look up the total DFT energy (no corrections) of the fourth one.
Answer: -6.115 eV/atom


Question: Look up the total DFT energy (no corrections) of the fourth one.
Answer: -6.115 eV/atom


Question: Look up the total DFT energy (no corrections) of the fifth one.
Answer: -9.222 eV/atom